Record 1
Entry from Alexandria via LeMat-Bulk: a relaxed MnTlCo2 crystal (PBE).

Computed properties:
- size of the total moment (μB per formula unit) = 5.5
- D(E_F) (states/eV per cell) = 8.6
- energy relative to the lowest polymorph listed for this composition (eV per atom) = 0.1020
- calculated formation energy (eV/atom) = 0.433

Unit cell a=8.4136 b=2.9171 c=4.8625 alpha=90.00 beta=102.66 gamma=90.00
Last column: nearest neighbours and their distance in Å.
Space group C2/m (No. 12)
Unique sites:
Mn 0.0000 0.0000 0.0000 x2  6 Co 2.49-2.61
Tl 0.0000 0.5000 0.5000 x2  6 Co 2.72-2.78, 4 Mn 2.84, 2 Tl 2.92
Co 0.2370 0.5000 0.2004 x4  2 Co 2.48, 3 Mn 2.49-2.61, 1 Tl 2.72


Record 2
Entry from Alexandria via LeMat-Bulk: a relaxed MnTl2Co crystal (PBE).

Computed properties:
- size of the total moment (μB per formula unit) = 5.0
- D(E_F) (states/eV per cell) = 9.8
- energy relative to the lowest polymorph listed for this composition (eV per atom) = 0.1278
- calculated formation energy (eV/atom) = 0.506

Unit cell a=3.2042 b=3.2042 c=27.1793 alpha=90.00 beta=90.00 gamma=120.00
Last column: nearest neighbours and their distance in Å.
Space group R3m (No. 160, hexagonal axes)
Unique sites:
Mn 0.0000 0.0000 0.0000 x3  3 Co 2.45
Tl 0.0000 0.0000 0.2459 x3  3 Mn 3.01, 6 Tl 3.20
Tl 0.0000 0.0000 0.4717 x3  3 Co 2.84
Co 0.0000 0.0000 0.7257 x3  3 Mn 2.45


Record 3
Entry from Alexandria via LeMat-Bulk: a relaxed MnTlCo2 crystal (PBE).

Computed properties:
- size of the total moment (μB per formula unit) = 5.2
- D(E_F) (states/eV per cell) = 10.8
- energy relative to the lowest polymorph listed for this composition (eV per atom) = 0.2530
- calculated formation energy (eV/atom) = 0.584

Unit cell a=2.9010 b=2.9010 c=24.4567 alpha=90.00 beta=90.00 gamma=120.00
Last column: nearest neighbours and their distance in Å.
Space group R-3m (No. 166, hexagonal axes)
Unique sites:
Mn 0.0000 0.0000 0.0000 x3  6 Co 2.46
Tl 0.0000 0.0000 0.5000 x3  6 Co 2.82, 6 Tl 2.90
Co 0.0000 0.0000 0.2595 x6  3 Mn 2.46


What is the formula in the second record?
MnTl2Co